Record 1
{
  "formula": "FeCuNO2",
  "functional": "PBE+U",
  "state": "optimized geometry",
  "energy_ev_per_atom": -5.1255,
  "volume_a3_per_atom": 10.689,
  "lattice": [[3.8581, 0.0000, 0.0000], [0.0000, 3.8581, 0.0000], [0.0000, 0.0000, 3.5904]],
  "species": ["O", "O", "Fe", "Cu", "N"],
  "frac_coords": [[0.0000, 0.5000, 0.0000], [0.5000, 0.0000, 0.0000], [0.5000, 0.5000, 0.5000], [0.0000, 0.0000, 0.0000], [0.0000, 0.0000, 0.5000]]
}

=====

Record 2
{
  "formula": "FeCuN2O",
  "functional": "PBE+U",
  "state": "optimized geometry",
  "energy_ev_per_atom": -5.1612,
  "volume_a3_per_atom": 10.947,
  "lattice": [[3.8031, 0.0000, 0.0000], [0.0000, 3.8031, 0.0000], [0.0000, 0.0000, 3.7844]],
  "species": ["O", "Fe", "Cu", "N", "N"],
  "frac_coords": [[0.0000, 0.0000, 0.5000], [0.0000, 0.0000, 0.0000], [0.5000, 0.5000, 0.5000], [0.0000, 0.5000, 0.0000], [0.5000, 0.0000, 0.0000]]
}

=====

Record 3
{
  "formula": "FeCuN2O",
  "functional": "PBE+U",
  "state": "optimized geometry",
  "energy_ev_per_atom": -4.9814,
  "volume_a3_per_atom": 10.556,
  "lattice": [[3.7096, 0.0000, 0.0000], [0.0000, 3.7096, 0.0000], [0.0000, 0.0000, 3.8355]],
  "species": ["O", "Fe", "Cu", "N", "N"],
  "frac_coords": [[0.0000, 0.0000, 0.5000], [0.5000, 0.5000, 0.5000], [0.0000, 0.0000, 0.0000], [0.0000, 0.5000, 0.0000], [0.5000, 0.0000, 0.0000]]
}

=====

Record 4
{
  "formula": "FeCuNO2",
  "functional": "PBE+U",
  "state": "optimized geometry",
  "energy_ev_per_atom": -5.1909,
  "volume_a3_per_atom": 11.018,
  "lattice": [[3.7905, 0.0000, 0.0000], [0.0000, 3.7905, 0.0000], [0.0000, 0.0000, 3.8342]],
  "species": ["O", "O", "Fe", "Cu", "N"],
  "frac_coords": [[0.0000, 0.5000, 0.0000], [0.5000, 0.0000, 0.0000], [0.0000, 0.0000, 0.0000], [0.5000, 0.5000, 0.5000], [0.0000, 0.0000, 0.5000]]
}

=====

no.,magnetic moment (μB/f.u.)
1,5.17
2,1.43
3,5.74
4,1.99